The following is a DFT calculation (PBE) of a geometry-optimized Co2PdCl structure.

Results
M_tot (μB per atom): 1.021
Volume (Å³ per cell): 56.37
E above lowest polymorph (meV per atom): 41.2
Uncorrected formation energy (kJ/mol of atoms): 59.3
Symmetry: Fm-3m, No. 225

Lattice parameters (Å, degrees): 4.3037 4.3037 4.3037 60.00 60.00 60.00
With the nearest neighbours (Å) after each atom.
Fractional coordinates of all 4 atoms:
Co  0.7500  0.7500  0.7500  4 Cl 2.64, 4 Pd 2.64
Cl  0.0000  0.0000  0.0000  8 Co 2.64
Co  0.2500  0.2500  0.2500  4 Cl 2.64, 4 Pd 2.64
Pd  0.5000  0.5000  0.5000  8 Co 2.64